# TlTeRu

TlTeRu after structural relaxation (PBE-GGA, Alexandria via LeMat-Bulk).

a = 3.574 Å, b = 3.574 Å, c = 6.421 Å
α = 90.00°, β = 90.00°, γ = 120.00°
Element x y z (fractional)
Ru 0.000 0.000 0.027
Te 0.667 0.333 0.268
Tl 0.333 0.667 0.705

Summary:
* formation energy (no corrections): 161 meV/atom
* energy above the most stable polymorph in this dataset: 0.179 eV/atom
* crystal system: trigonal
* spin magnetization: 0.00 μB/cell
* DOS(E_F): 2.13 states/eV per cell
* V: 23.683 Å³ per atom